Model A:
Compound: LaCuTc3
Source: the Alexandria database
Functional: GGA-PBE
Structure: optimized geometry

```
LaCuTc3
1.0
4.630 0.000 0.000
0.000 4.630 0.000
0.000 0.000 4.630
Tc Cu La
3 1 1
direct
0.500 0.000 0.000 Tc
0.000 0.500 0.000 Tc
0.000 0.000 0.500 Tc
0.000 0.000 0.000 Cu
0.500 0.500 0.500 La
```

## Properties
Symmetry ... Pm-3m (221)
Magnetization ... 2.2 μB/f.u.

=====

Model B:
Compound: LaCuTc3
Source: the Alexandria database
Functional: GGA-PBE
Structure: optimized geometry

```
LaCuTc3
1.0
-2.181 3.946 -1.485
-1.776 0.656 4.353
3.824 2.556 1.175
Tc Cu La
3 1 1
direct
0.500 0.000 0.000 Tc
0.000 0.000 0.500 Tc
0.000 0.500 0.000 Tc
0.500 0.500 0.500 Cu
0.000 0.000 0.000 La
```

## Properties
Symmetry ... Pm-3m (221)
Magnetization ... 2.9 μB/f.u.

=====

Top of the stability list: model A, leading by 1112 meV/atom.